YMnCl2, relaxed, DFT GGA-PBE; formation energy (no corrections) = -751 meV/atom; crystal system = orthorhombic; SG = Imm2 (44); offset from the most stable computed form = 0.205 eV/atom
1.0
-1.675 2.361 6.528
1.675 -2.361 6.528
1.675 2.361 -6.528
Y Mn Cl
1 1 2
direct
0.000 0.000 0.000 Y
0.199 0.699 0.500 Mn
0.518 0.518 0.000 Cl
0.828 0.328 0.500 Cl


As2PbW, relaxed, DFT GGA-PBE; crystal system = tetragonal; SG = I-4m2 (119); formation energy = 0.908 eV per atom
1.0
-2.109 2.109 4.537
2.109 -2.109 4.537
2.109 2.109 -4.537
As Pb W
2 1 1
direct
0.000 0.000 0.000 As
0.750 0.250 0.500 As
0.250 0.750 0.500 Pb
0.500 0.500 0.000 W


Cs2InTe2, relaxed, DFT GGA-PBE; formation energy (no corrections) = -571 meV/atom; crystal system = tetragonal; SG = P4/mbm (127); offset from the most stable computed form = 0.262 eV/atom
1.0
8.935 0.000 0.000
0.000 8.935 0.000
0.000 0.000 5.733
Cs In Te
4 2 4
direct
0.143 0.357 0.000 Cs
0.357 0.857 0.000 Cs
0.643 0.143 0.000 Cs
0.857 0.643 0.000 Cs
0.000 0.000 0.500 In
0.500 0.500 0.500 In
0.177 0.677 0.500 Te
0.323 0.177 0.500 Te
0.677 0.823 0.500 Te
0.823 0.323 0.500 Te


BaSc2In, relaxed, DFT GGA-PBE; crystal system = trigonal; SG = R-3m (166); formation energy = 0.106 eV per atom
1.0
1.795 1.036 10.782
-1.795 1.036 10.782
0.000 -2.072 10.782
Ba Sc In
1 2 1
direct
0.000 0.000 0.000 Ba
0.236 0.236 0.236 Sc
0.764 0.764 0.764 Sc
0.500 0.500 0.500 In


Mg2Zn4Ir, relaxed, DFT GGA-PBE; crystal system = monoclinic; SG = P2_1/m (11); offset from the most stable computed form = 0.000 eV/atom; formation energy = -0.156 eV per atom
1.0
6.730 0.000 0.000
0.000 5.009 0.000
-3.335 0.000 6.850
Mg Zn Ir
4 8 2
direct
0.021 0.250 0.392 Mg
0.421 0.750 0.895 Mg
0.579 0.250 0.105 Mg
0.979 0.750 0.608 Mg
0.202 0.001 0.134 Zn
0.202 0.499 0.134 Zn
0.320 0.750 0.477 Zn
0.418 0.250 0.695 Zn
0.582 0.750 0.305 Zn
0.680 0.250 0.523 Zn
0.798 0.501 0.866 Zn
0.798 0.999 0.866 Zn
0.116 0.250 0.804 Ir
0.884 0.750 0.196 Ir


Rb2CaRhI6, relaxed, DFT GGA-PBE; formation energy (no corrections) = -992 meV/atom; crystal system = tetragonal; SG = I4/mmm (139)
1.0
-4.169 4.169 5.858
4.169 -4.169 5.858
4.169 4.169 -5.858
Rb Ca Rh I
2 1 1 6
direct
0.250 0.750 0.500 Rb
0.750 0.250 0.500 Rb
0.000 0.000 0.000 Ca
0.500 0.500 0.000 Rh
0.263 0.263 0.527 I
0.263 0.737 0.000 I
0.266 0.266 0.000 I
0.734 0.734 0.000 I
0.737 0.263 0.000 I
0.737 0.737 0.473 I


N(E_F)? In order: 0.48, 0.67, 0.85, 0.47, 0.27, 0.40 states/eV/atom.
Magnetic moment? In order: 4.15, 1.36, 0.00, 0.00, 0.00, 0.97 μB/f.u..